Material: Tl2H6PtAu
Method: DFT, PBE
State: relaxed

Unit cell a=7.2564 b=7.2486 c=6.1019 alpha=90.00 beta=126.44 gamma=90.00
Space group Cm (No. 8)
One atom of each set of equivalent atoms:
Tl: 0.0000 0.2488 0.0000 x4
H: 0.1428 0.5000 0.7798 x2
H: 0.1765 0.0000 0.8452 x2
H: 0.2161 0.5000 0.4544 x2
H: 0.2399 0.0000 0.4562 x2
H: 0.4783 0.2388 0.4574 x4
Pt: 0.4758 0.0000 0.4515 x2
Au: 0.4940 0.5000 0.4884 x2

Results
- total DFT energy (no corrections) (eV per cell) = -65.7
- volume (Å³/cell) = 258.2
- total magnetization (μB per cell) = 0.00